Record 1
This record from the Alexandria database describes crystalline LiPuPbO5 at its relaxed geometry. The functional is PBE.

CIF file:
```
data_LiPuPbO5
_chemical_formula_sum 'Li4 Pu4 Pb4 O20'
_symmetry_space_group_name_H-M 'C 1 2/c 1'
_symmetry_Int_Tables_number 15
_cell_length_a 7.213
_cell_length_b 9.569
_cell_length_c 8.059
_cell_angle_alpha 90.00
_cell_angle_beta 115.17
_cell_angle_gamma 90.00
loop_
_symmetry_equiv_pos_as_xyz
'x,y,z'
'-x,-y,-z'
'-x,y,-z+1/2'
'x,-y,z+1/2'
'x+1/2,y+1/2,z'
'-x+1/2,-y+1/2,-z'
'-x+1/2,y+1/2,-z+1/2'
'x+1/2,-y+1/2,z+1/2'
loop_
_atom_site_label
_atom_site_type_symbol
_atom_site_fract_x
_atom_site_fract_y
_atom_site_fract_z
_atom_site_occupancy
Li1 Li 0.000 0.054 0.250 1
Pu1 Pu 0.250 0.250 0.000 1
Pb1 Pb 0.000 0.435 0.250 1
O1 O 0.000 0.318 0.750 1
O2 O 0.062 0.194 0.095 1
O3 O 0.246 0.445 0.091 1
```

## Properties
Crystal system   monoclinic

---

Record 2
This record from the Alexandria database describes crystalline LiPuPb2O8 at its relaxed geometry. The functional is PBE.

CIF file:
```
data_LiPuPb2O8
_chemical_formula_sum 'Li1 Pu1 Pb2 O8'
_symmetry_space_group_name_H-M 'P 1 2/m 1'
_symmetry_Int_Tables_number 10
_cell_length_a 5.143
_cell_length_b 6.506
_cell_length_c 5.164
_cell_angle_alpha 90.00
_cell_angle_beta 90.33
_cell_angle_gamma 90.00
loop_
_symmetry_equiv_pos_as_xyz
'x,y,z'
'-x,-y,-z'
'-x,y,-z'
'x,-y,z'
loop_
_atom_site_label
_atom_site_type_symbol
_atom_site_fract_x
_atom_site_fract_y
_atom_site_fract_z
_atom_site_occupancy
Li1 Li 0.000 0.000 0.000 1
Pu1 Pu 0.000 0.500 0.000 1
Pb1 Pb 0.500 0.243 0.500 1
O1 O 0.181 0.283 0.823 1
O2 O 0.300 0.000 0.303 1
O3 O 0.305 0.500 0.310 1
```

## Properties
Crystal system   monoclinic

---

Record 3
This record from the Alexandria database describes crystalline Rb2LiPbO4 at its relaxed geometry. The functional is PBE.

CIF file:
```
data_Rb2LiPbO4
_chemical_formula_sum 'Rb16 Li8 Pb8 O32'
_symmetry_space_group_name_H-M 'F d d d'
_symmetry_Int_Tables_number 70
_cell_length_a 5.384
_cell_length_b 12.770
_cell_length_c 20.845
_cell_angle_alpha 90.00
_cell_angle_beta 90.00
_cell_angle_gamma 90.00
loop_
_symmetry_equiv_pos_as_xyz
'x,y,z'
'-x,-y,-z'
'-x+1/4,-y+1/4,z'
'x+1/4,y+1/4,-z'
'x,-y+1/4,-z+1/4'
'-x,y+1/4,z+1/4'
'-x+1/4,y,-z+1/4'
'x+1/4,-y,z+1/4'
'x,y+1/2,z+1/2'
'-x,-y+1/2,-z+1/2'
'-x+1/4,-y+3/4,z+1/2'
'x+1/4,y+3/4,-z+1/2'
'x,-y+3/4,-z+3/4'
'-x,y+3/4,z+3/4'
'-x+1/4,y+1/2,-z+3/4'
'x+1/4,-y+1/2,z+3/4'
'x+1/2,y,z+1/2'
'-x+1/2,-y,-z+1/2'
'-x+3/4,-y+1/4,z+1/2'
'x+3/4,y+1/4,-z+1/2'
'x+1/2,-y+1/4,-z+3/4'
'-x+1/2,y+1/4,z+3/4'
'-x+3/4,y,-z+3/4'
'x+3/4,-y,z+3/4'
'x+1/2,y+1/2,z'
'-x+1/2,-y+1/2,-z'
'-x+3/4,-y+3/4,z'
'x+3/4,y+3/4,-z'
'x+1/2,-y+3/4,-z+1/4'
'-x+1/2,y+3/4,z+1/4'
'-x+3/4,y+1/2,-z+1/4'
'x+3/4,-y+1/2,z+1/4'
loop_
_atom_site_label
_atom_site_type_symbol
_atom_site_fract_x
_atom_site_fract_y
_atom_site_fract_z
_atom_site_occupancy
Rb1 Rb 0.125 0.125 0.307 1
Li1 Li 0.125 0.125 0.625 1
Pb1 Pb 0.125 0.125 0.125 1
O1 O 0.121 0.278 0.829 1
```

## Properties
Crystal system   orthorhombic

---

Record 4
This record from the Alexandria database describes crystalline RbLiPbO2 at its relaxed geometry. The functional is PBE.

CIF file:
```
data_RbLiPbO2
_chemical_formula_sum 'Rb4 Li4 Pb4 O8'
_symmetry_space_group_name_H-M 'C 1 2/m 1'
_symmetry_Int_Tables_number 12
_cell_length_a 15.381
_cell_length_b 3.601
_cell_length_c 7.696
_cell_angle_alpha 90.00
_cell_angle_beta 95.65
_cell_angle_gamma 90.00
loop_
_symmetry_equiv_pos_as_xyz
'x,y,z'
'-x,-y,-z'
'-x,y,-z'
'x,-y,z'
'x+1/2,y+1/2,z'
'-x+1/2,-y+1/2,-z'
'-x+1/2,y+1/2,-z'
'x+1/2,-y+1/2,z'
loop_
_atom_site_label
_atom_site_type_symbol
_atom_site_fract_x
_atom_site_fract_y
_atom_site_fract_z
_atom_site_occupancy
Rb1 Rb 0.169 0.000 0.301 1
Li1 Li 0.209 0.000 0.925 1
Pb1 Pb 0.083 0.500 0.754 1
O1 O 0.162 0.000 0.672 1
O2 O 0.167 0.500 0.996 1
```

## Properties
Crystal system   monoclinic

---

Record 5
This record from the Alexandria database describes crystalline RbLi2PbO at its relaxed geometry. The functional is PBE.

CIF file:
```
data_RbLi2PbO
_chemical_formula_sum 'Rb1 Li2 Pb1 O1'
_symmetry_space_group_name_H-M 'P 4/m m m'
_symmetry_Int_Tables_number 123
_symmetry_space_group_name_Hall '-P 4 2'
_cell_length_a 5.321
_cell_length_b 5.321
_cell_length_c 4.848
_cell_angle_alpha 90.00
_cell_angle_beta 90.00
_cell_angle_gamma 90.00
loop_
_atom_site_label
_atom_site_type_symbol
_atom_site_fract_x
_atom_site_fract_y
_atom_site_fract_z
_atom_site_occupancy
Rb1 Rb 0.000 0.000 0.000 1
Li1 Li 0.000 0.500 0.500 1
Pb1 Pb 0.500 0.500 0.500 1
O1 O 0.500 0.500 0.000 1
```

## Properties
Crystal system   tetragonal

---

Record 6
This record from the Alexandria database describes crystalline RbLi2Pb2O6 at its relaxed geometry. The functional is PBE.

CIF file:
```
data_RbLi2Pb2O6
_chemical_formula_sum 'Rb1 Li2 Pb2 O6'
_symmetry_space_group_name_H-M 'P -1'
_symmetry_Int_Tables_number 2
_cell_length_a 5.961
_cell_length_b 6.004
_cell_length_c 6.099
_cell_angle_alpha 116.44
_cell_angle_beta 103.68
_cell_angle_gamma 103.27
loop_
_symmetry_equiv_pos_as_xyz
'x,y,z'
'-x,-y,-z'
loop_
_atom_site_label
_atom_site_type_symbol
_atom_site_fract_x
_atom_site_fract_y
_atom_site_fract_z
_atom_site_occupancy
Rb1 Rb 0.000 0.000 0.000 1
Li1 Li 0.491 0.621 0.340 1
Pb1 Pb 0.007 0.682 0.354 1
O1 O 0.218 0.646 0.085 1
O2 O 0.243 0.504 0.498 1
O3 O 0.248 0.111 0.669 1
```

## Properties
Crystal system   triclinic

---

Number 1: ΔE_f (raw) -2.017 eV/atom. Number 2: ΔE_f (raw) -1.487 eV/atom. Number 3: ΔE_f (raw) -0.974 eV/atom. Number 4: ΔE_f (raw) -1.404 eV/atom. Number 5: ΔE_f (raw) -0.164 eV/atom. Number 6: ΔE_f (raw) -1.073 eV/atom.